1.
# Mg6Cd5In

Crystalline Mg6Cd5In at its relaxed geometry (PBE-GGA, the Alexandria database).

Results
- Energy of formation: -93 meV per atom
- SG: C2/m, No. 12
- Raw total energy: -18.0 eV for the cell shown

The structure in POSCAR format:
```
Mg6Cd5In
1.0
4.404 0.004 -1.229
-3.169 7.219 -2.880
-0.016 -0.163 8.392
Mg In Cd
6 1 5
Cartesian
0.835 0.555 2.966 Mg
1.438 4.041 5.081 Mg
2.513 1.791 0.470 Mg
-1.293 5.269 3.813 Mg
-0.218 3.020 -0.798 Mg
0.385 6.506 1.317 Mg
0.000 0.000 0.000 In
1.659 1.074 5.892 Cd
-1.063 2.290 4.646 Cd
0.610 3.530 2.142 Cd
2.283 4.770 -0.363 Cd
-0.439 5.986 -1.609 Cd
```

2.
# Co2NiTe6

Crystalline Co2NiTe6 at its relaxed geometry (PBE-GGA, the Alexandria database).

Results
- SG: P-31m, No. 162
- ΔE_f (raw): -212.1 meV per atom
- Raw total energy: -40.8 eV for the cell shown

The structure in POSCAR format:
```
Co2NiTe6
1.0
-1.439 2.209 -4.796
6.236 -0.658 -2.173
-4.377 -4.898 -0.943
Co Ni Te
2 1 6
Cartesian
-1.559 -2.380 -3.751 Co
1.979 -0.967 -4.161 Co
-0.719 1.104 -2.398 Ni
-0.627 -4.754 -3.641 Te
0.251 -1.298 -2.313 Te
-3.275 -2.662 -1.884 Te
1.047 1.407 -4.272 Te
0.169 -2.049 -5.600 Te
3.695 -0.685 -6.029 Te
```

3.
# Pm2PrAl

Crystalline Pm2PrAl at its relaxed geometry (PBE-GGA, the Alexandria database).

Results
- Energy of formation: -7 meV per atom
- SG: Fm-3m, No. 225
- Raw total energy: -18.1 eV for the cell shown

The structure in POSCAR format:
```
Pm2PrAl
1.0
5.508 0.000 0.000
2.754 4.770 0.000
2.754 1.590 4.498
Pr Al Pm
1 1 2
Cartesian
0.000 0.000 0.000 Pr
5.508 3.180 2.249 Al
2.754 1.590 1.124 Pm
8.263 4.770 3.373 Pm
```

4.
# Tm2MnSi

Crystalline Tm2MnSi at its relaxed geometry (PBE-GGA, the Alexandria database).

Results
- SG: R-3m, No. 166
- ΔE_f (raw): 366.0 meV per atom
- Raw total energy: -22.1 eV for the cell shown

The structure in POSCAR format:
```
Tm2MnSi
1.0
-0.506 -0.977 3.184
-2.832 -1.624 0.833
3.273 -9.521 -0.620
Si Tm Mn
1 2 1
Cartesian
-0.033 -6.061 1.699 Si
1.985 -6.980 -0.044 Tm
-2.050 -5.142 3.442 Tm
0.000 0.000 0.000 Mn
```